The following is a PBE-GGA calculation of a relaxed structure of PmGdP2, from Alexandria.

Cell: 3.531 4.995 4.995 Å, 90.00 90.00 90.00°
Last column: magnetic moment on the atom in μB.
Positions (direct):
P 0.000 0.000 0.500  -0.04
P 0.000 0.500 0.000  -0.04
Gd 0.500 0.500 0.500  6.95
Pm 0.500 0.000 0.000  0.04

## Properties
calculated density: 6.86 Mg/m³
crystal system: tetragonal
energy relative to the elements: -1.082 eV per atom